Here is Rb4Pa3NbN8 after structural relaxation from Alexandria. Energies are from PBE.

## Properties
E_form (uncorrected) = -976.4 meV/atom
density = 7.1 g cm⁻³
V = 289.1 Å³/cell

```
16
Lattice="-7.009 -0.310 -0.578 0.468 -7.700 -1.545 2.942 2.193 6.008" Properties=species:S:1:pos:R:3 pbc="T T T"
Rb -3.504 -0.155 -0.289
Rb -2.033 0.941 2.715
Rb 0.000 0.000 0.000
Rb 1.471 1.096 3.004
Pa -3.270 -4.005 -1.062
Pa -1.799 -2.909 1.942
Pa 1.705 -2.754 2.231
Nb 0.234 -3.850 -0.772
N 1.599 -3.044 4.535
N 0.069 -4.185 1.409
N -0.155 -1.509 2.688
N -2.046 -3.205 4.234
N -1.552 -2.612 -0.350
N -3.443 -4.309 1.197
N -3.667 -1.633 2.475
N -5.197 -2.774 -0.650
```